(1)
Crystalline LaIn4CuPd2 at its relaxed geometry. Source: Alexandria, functional GGA-PBE.

a = 4.6130 Å, b = 4.6130 Å, c = 9.7844 Å
α = 76.37°, β = 76.37°, γ = 60.00°
Last column: nearest neighbours and their distance in Å.
Positions (direct):
La 0.0000 0.0000 0.0000  6 In 3.27
In 0.5997 0.5997 0.2009  3 Pd 2.80, 1 Cu 2.82
Pd 0.2359 0.2359 0.2922  7 In 2.80-2.94
In 0.1318 0.1318 0.6047  4 Pd 2.83-2.94, 3 Cu 2.84
Pd 0.7641 0.7641 0.7078  7 In 2.80-2.94
In 0.4003 0.4003 0.7991  3 Pd 2.80, 1 Cu 2.82
Cu 0.5000 0.5000 0.5000  8 In 2.82-2.84
In 0.8682 0.8682 0.3953  4 Pd 2.83-2.94, 3 Cu 2.84

As for the crystal system: trigonal. The value obtained for the total energy is -0.154 hartree per atom.

---

(2)
Crystalline LaTaSb2Ru at its relaxed geometry. Source: Alexandria, functional GGA-PBE.

a = 5.3834 Å, b = 4.7159 Å, c = 5.3834 Å
α = 90.00°, β = 90.00°, γ = 90.00°
Last column: nearest neighbours and their distance in Å.
Positions (direct):
La 0.5000 0.5000 0.5000  8 Sb 3.58, 4 Ru 3.81
Ta 0.0000 0.0000 0.0000  2 Ru 2.36
Sb 0.5000 0.0000 0.0000  2 Ta 2.69
Sb 0.0000 0.0000 0.5000  2 Ta 2.69
Ru 0.0000 0.5000 0.0000  2 Ta 2.36

As for the crystal system: tetragonal. Its formation energy from raw total energies is 0.1805 eV per atom.

---

(3)
Crystalline Dy2Y5Er12 at its relaxed geometry. Source: Alexandria, functional GGA-PBE.

a = 5.9787 Å, b = 9.6465 Å, c = 12.0089 Å
α = 119.09°, β = 95.87°, γ = 91.12°
Last column: nearest neighbours and their distance in Å.
Positions (direct):
Y 0.1031 0.6942 0.1561  7 Er 3.30-3.57
Er 0.9277 0.3576 0.5425  3 Y 3.28-3.55, 5 Er 3.34-3.66
Er 0.4284 0.3323 0.0133  6 Er 3.41-3.56, 2 Dy 3.51-3.66, 4 Y 3.53-3.75
Er 0.0723 0.6424 0.4575  3 Y 3.28-3.55, 5 Er 3.34-3.66
Y 0.5000 0.6212 0.6683  8 Er 3.39-3.60, 1 Dy 3.45, 1 Y 3.55
Y 0.8969 0.3058 0.8439  7 Er 3.30-3.57
Er 0.5737 0.9230 0.6042  2 Y 3.18-3.39, 4 Er 3.26-3.53, 1 Dy 3.54
Er 0.3842 0.3071 0.7129  4 Y 3.30-3.45, 5 Er 3.39-3.53
Er 0.1640 0.9555 0.7723  4 Er 3.26-3.56, 3 Dy 3.29-3.52, 3 Y 3.52-3.58
Y 0.0000 0.0000 0.5000  8 Er 3.18-3.54
Er 0.8360 0.0445 0.2277  4 Er 3.26-3.56, 3 Dy 3.29-3.52, 3 Y 3.52-3.58
Er 0.9595 0.3423 0.1564  5 Er 3.34-3.73, 2 Dy 3.38-3.53, 4 Y 3.49-3.58
Dy 0.7173 0.9875 0.9197  8 Er 3.29-3.66, 2 Dy 3.34-3.66, 1 Y 3.45
Er 0.5716 0.6677 0.9867  6 Er 3.41-3.56, 2 Dy 3.51-3.66, 4 Y 3.53-3.75
Dy 0.2827 0.0125 0.0803  8 Er 3.29-3.66, 2 Dy 3.34-3.66, 1 Y 3.45
Er 0.0405 0.6577 0.8436  5 Er 3.34-3.73, 2 Dy 3.38-3.53, 4 Y 3.49-3.58
Y 0.5000 0.3788 0.3317  8 Er 3.39-3.60, 1 Dy 3.45, 1 Y 3.55
Er 0.6158 0.6929 0.2871  4 Y 3.30-3.45, 5 Er 3.39-3.53
Er 0.4263 0.0770 0.3958  2 Y 3.18-3.39, 4 Er 3.26-3.53, 1 Dy 3.54

As for the crystal system: triclinic. The value obtained for the total energy is -0.182 hartree per atom.

---

(4)
Crystalline MnTcGeW at its relaxed geometry. Source: Alexandria, functional GGA-PBE.

a = 4.2818 Å, b = 4.2818 Å, c = 4.2818 Å
α = 60.00°, β = 60.00°, γ = 60.00°
Last column: nearest neighbours and their distance in Å.
Positions (direct):
Tc 0.0000 0.0000 0.0000  4 W 2.62, 4 Ge 2.62
W 0.7500 0.7500 0.7500  4 Tc 2.62, 4 Mn 2.62
Mn 0.5000 0.5000 0.5000  4 Ge 2.62, 4 W 2.62
Ge 0.2500 0.2500 0.2500  4 Mn 2.62, 4 Tc 2.62

As for the crystal system: cubic. The value obtained for the total energy is -0.341 hartree per atom.

---

(5)
Crystalline SrOs2Pd at its relaxed geometry. Source: Alexandria, functional GGA-PBE.

a = 4.6743 Å, b = 4.6743 Å, c = 4.6743 Å
α = 60.00°, β = 60.00°, γ = 60.00°
Last column: nearest neighbours and their distance in Å.
Positions (direct):
Pd 0.5000 0.5000 0.5000  8 Os 2.86
Os 0.7500 0.7500 0.7500  4 Sr 2.86, 4 Pd 2.86
Os 0.2500 0.2500 0.2500  4 Pd 2.86, 4 Sr 2.86
Sr 0.0000 0.0000 0.0000  8 Os 2.86

As for the energy above the lowest structure with this stoichiometry: 547 meV/atom. As for the crystal system: cubic.

---

(6)
Crystalline PrDyGaGe at its relaxed geometry. Source: Alexandria, functional GGA-PBE.

a = 5.1639 Å, b = 5.1639 Å, c = 5.1639 Å
α = 60.00°, β = 60.00°, γ = 60.00°
Last column: nearest neighbours and their distance in Å.
Positions (direct):
Dy 0.0000 0.0000 0.0000  4 Ge 3.16, 4 Ga 3.16
Ga 0.7500 0.7500 0.7500  4 Dy 3.16, 4 Pr 3.16
Pr 0.5000 0.5000 0.5000  4 Ge 3.16, 4 Ga 3.16
Ge 0.2500 0.2500 0.2500  4 Dy 3.16, 4 Pr 3.16

As for the energy above the lowest structure with this stoichiometry: 197 meV/atom. As for the crystal system: cubic.

---

(7)
Crystalline Li2Cu2Pt at its relaxed geometry. Source: Alexandria, functional GGA-PBE.

a = 6.5978 Å, b = 6.5978 Å, c = 2.8534 Å
α = 90.00°, β = 90.00°, γ = 90.00°
Last column: nearest neighbours and their distance in Å.
Positions (direct):
Li 0.6287 0.1287 0.0000  6 Cu 2.32-2.48, 1 Li 2.40, 2 Pt 2.59
Cu 0.3247 0.1753 0.5000  6 Li 2.32-2.48
Li 0.1287 0.3713 0.0000  6 Cu 2.32-2.48, 1 Li 2.40, 2 Pt 2.59
Cu 0.8247 0.3247 0.5000  6 Li 2.32-2.48
Li 0.3713 0.8713 0.0000  6 Cu 2.32-2.48, 1 Li 2.40, 2 Pt 2.59
Li 0.8713 0.6287 0.0000  6 Cu 2.32-2.48, 1 Li 2.40, 2 Pt 2.59
Cu 0.1753 0.6753 0.5000  6 Li 2.32-2.48
Pt 0.5000 0.5000 0.0000  4 Li 2.59, 8 Cu 2.82, 2 Pt 2.85
Pt 0.0000 0.0000 0.0000  4 Li 2.59, 8 Cu 2.82, 2 Pt 2.85
Cu 0.6753 0.8247 0.5000  6 Li 2.32-2.48

As for the energy above the lowest structure with this stoichiometry: 183 meV/atom. As for the crystal system: tetragonal.

---

(8)
Crystalline Tl4Bi3Pb2 at its relaxed geometry. Source: Alexandria, functional GGA-PBE.

a = 6.1598 Å, b = 9.9224 Å, c = 9.9224 Å
α = 74.04°, β = 83.44°, γ = 83.44°
Last column: nearest neighbours and their distance in Å.
Positions (direct):
Pb 0.6867 0.4826 0.7374  5 Bi 3.35-3.65, 1 Pb 3.46, 4 Tl 3.48-3.63
Tl 0.9814 0.1804 0.9319  4 Tl 3.45-3.57, 5 Bi 3.49-3.62, 1 Pb 3.52
Pb 0.3133 0.5174 0.2626  5 Bi 3.35-3.65, 1 Pb 3.46, 4 Tl 3.48-3.63
Tl 0.1303 0.6000 0.8462  5 Bi 3.42-3.62, 2 Tl 3.47-3.48, 3 Pb 3.48-3.63
Pb 0.8133 0.2626 0.5174  5 Bi 3.35-3.65, 1 Pb 3.46, 4 Tl 3.48-3.63
Pb 0.1867 0.7374 0.4826  5 Bi 3.35-3.65, 1 Pb 3.46, 4 Tl 3.48-3.63
Tl 0.0186 0.8196 0.0681  4 Tl 3.45-3.57, 5 Bi 3.49-3.62, 1 Pb 3.52
Bi 0.5725 0.6988 0.9637  2 Pb 3.35-3.48, 8 Tl 3.42-3.62
Tl 0.6303 0.8462 0.6000  5 Bi 3.42-3.62, 2 Tl 3.47-3.48, 3 Pb 3.48-3.63
Bi 0.4275 0.3012 0.0363  2 Pb 3.35-3.48, 8 Tl 3.42-3.62
Bi 0.9275 0.0363 0.3012  2 Pb 3.35-3.48, 8 Tl 3.42-3.62
Tl 0.3697 0.1538 0.4000  5 Bi 3.42-3.62, 2 Tl 3.47-3.48, 3 Pb 3.48-3.63
Tl 0.4814 0.9319 0.1804  4 Tl 3.45-3.57, 5 Bi 3.49-3.62, 1 Pb 3.52
Tl 0.5186 0.0681 0.8196  4 Tl 3.45-3.57, 5 Bi 3.49-3.62, 1 Pb 3.52
Bi 0.0725 0.9637 0.6988  2 Pb 3.35-3.48, 8 Tl 3.42-3.62
Tl 0.8697 0.4000 0.1538  5 Bi 3.42-3.62, 2 Tl 3.47-3.48, 3 Pb 3.48-3.63
Bi 0.7500 0.6221 0.3779  6 Pb 3.41-3.65, 4 Tl 3.51
Bi 0.2500 0.3779 0.6221  6 Pb 3.41-3.65, 4 Tl 3.51

As for the crystal system: monoclinic. The value obtained for the total energy is -0.115 hartree per atom.

---

(9)
Crystalline PuIn3Cl6 at its relaxed geometry. Source: Alexandria, functional GGA-PBE.

a = 7.5015 Å, b = 8.3344 Å, c = 10.8651 Å
α = 90.00°, β = 93.36°, γ = 90.00°
Last column: nearest neighbours and their distance in Å.
Positions (direct):
Pu 0.5000 0.5000 0.5000  6 Cl 2.73-2.74
Cl 0.3621 0.5708 0.2682  1 Pu 2.73
In 0.0000 0.0000 0.5000  6 Cl 3.17-3.24
Cl 0.1881 0.3392 0.5338  1 Pu 2.74
Cl 0.1695 0.2650 0.9174  1 Pu 2.73
In 0.0217 0.5692 0.7256  6 Cl 3.11-3.42
In 0.5000 0.5000 0.0000  6 Cl 3.17-3.24
Cl 0.3119 0.8392 0.9662  1 Pu 2.74
Cl 0.3305 0.7650 0.5826  1 Pu 2.73
Cl 0.6379 0.4292 0.7318  1 Pu 2.73
Cl 0.8621 0.9292 0.7682  1 Pu 2.73
Cl 0.8305 0.7350 0.0826  1 Pu 2.73
In 0.4783 0.0692 0.7744  6 Cl 3.11-3.42
Pu 0.0000 0.0000 0.0000  6 Cl 2.73-2.74
Cl 0.6881 0.1608 0.0338  1 Pu 2.74
In 0.9783 0.4308 0.2744  6 Cl 3.11-3.42
Cl 0.1379 0.0708 0.2318  1 Pu 2.73
Cl 0.8119 0.6608 0.4662  1 Pu 2.74
Cl 0.6695 0.2350 0.4174  1 Pu 2.73
In 0.5217 0.9308 0.2256  6 Cl 3.11-3.42

As for the energy above the lowest structure with this stoichiometry: 0 meV/atom. As for the crystal system: monoclinic. Its formation energy from raw total energies is -1.2608 eV per atom.

---

(10)
Crystalline RbTl3Rh at its relaxed geometry. Source: Alexandria, functional GGA-PBE.

a = 5.8285 Å, b = 16.3401 Å, c = 6.6449 Å
α = 90.00°, β = 90.00°, γ = 90.00°
Last column: nearest neighbours and their distance in Å.
Positions (direct):
Rh 0.2499 0.2500 0.2500  6 Tl 2.80, 2 Rh 2.91
Tl 0.0000 0.8640 0.9752  2 Rh 2.80
Tl 0.0000 0.3640 0.0248  2 Rh 2.80
Tl 0.0000 0.1360 0.0248  2 Rh 2.80
Rb 0.5000 0.5000 0.0000  6 Tl 3.67-3.86
Tl 0.9999 0.2500 0.6091  2 Rh 2.80
Rh 0.7499 0.2500 0.2500  6 Tl 2.80, 2 Rh 2.91
Tl 0.5001 0.7500 0.1091  2 Rh 2.80
Tl 0.5000 0.1360 0.4752  2 Rh 2.80
Rh 0.7501 0.7500 0.7500  6 Tl 2.80, 2 Rh 2.91
Tl 0.4999 0.2500 0.8909  2 Rh 2.80
Rb 0.5000 0.0000 0.0000  6 Tl 3.67-3.86
Tl 0.0001 0.7500 0.3909  2 Rh 2.80
Rb 0.0000 0.5000 0.5000  6 Tl 3.67-3.86
Tl 0.5000 0.6360 0.5248  2 Rh 2.80
Rb 0.0000 0.0000 0.5000  6 Tl 3.67-3.86
Tl 0.5000 0.8640 0.5248  2 Rh 2.80
Tl 0.0000 0.6360 0.9752  2 Rh 2.80
Rh 0.2501 0.7500 0.7500  6 Tl 2.80, 2 Rh 2.91
Tl 0.5000 0.3640 0.4752  2 Rh 2.80

As for the energy above the lowest structure with this stoichiometry: 48 meV/atom. As for the crystal system: orthorhombic.

---

(11)
Crystalline Na2TaMo2 at its relaxed geometry. Source: Alexandria, functional GGA-PBE.

a = 3.6863 Å, b = 3.6863 Å, c = 7.9537 Å
α = 76.60°, β = 76.60°, γ = 90.00°
Last column: nearest neighbours and their distance in Å.
Positions (direct):
Ta 0.0000 0.0000 0.0000  8 Mo 2.84
Na 0.7500 0.2500 0.5000  4 Na 2.61
Na 0.2500 0.7500 0.5000  4 Na 2.61
Mo 0.5750 0.5750 0.8499  1 Mo 2.26
Mo 0.4250 0.4250 0.1501  1 Mo 2.26

As for the energy above the lowest structure with this stoichiometry: 0 meV/atom. As for the crystal system: tetragonal.

---

(12)
Crystalline TbPmDySc at its relaxed geometry. Source: Alexandria, functional GGA-PBE.

a = 3.7692 Å, b = 5.6460 Å, c = 6.7051 Å
α = 114.90°, β = 73.65°, γ = 90.00°
Last column: nearest neighbours and their distance in Å.
Positions (direct):
Sc 0.9208 0.6417 0.2834  2 Dy 3.25-3.27, 2 Tb 3.26-3.27, 4 Pm 3.38-3.41
Tb 0.6553 0.4111 0.8222  2 Sc 3.26-3.27, 4 Dy 3.42-3.43, 1 Pm 3.63
Pm 0.4148 0.1405 0.2810  4 Sc 3.38-3.41, 2 Dy 3.62-3.66, 2 Tb 3.63-3.68, 2 Pm 3.77
Dy 0.1951 0.8714 0.7428  2 Sc 3.25-3.27, 4 Tb 3.42-3.43, 1 Pm 3.62

As for the energy above the lowest structure with this stoichiometry: 0 meV/atom. As for the crystal system: monoclinic.